[1]
TaPt2Pb: optimized geometry, GGA-PBEsol.

## Properties
Calculated volume ... 18.7 Å³/atom
ΔH_f (0 K) ... -0.13 eV/atom

Cell lengths 8.973, 3.396, 4.999 Å; angles 90.00, 100.46, 90.00 degrees
Space group Cm (No. 8)
Inequivalent atoms, fractional coordinates:
Ta 0.000 0.000 0.000 (multiplicity 2)
Pt 0.226 0.500 0.141 (multiplicity 2)
Pt 0.469 0.000 0.390 (multiplicity 2)
Pb 0.226 0.000 0.650 (multiplicity 2)

=====

[2]
TaPt2Pb: optimized geometry, GGA-PBEsol.

## Properties
Calculated volume ... 20.0 Å³/atom
ΔH_f (0 K) ... -0.18 eV/atom

Cell lengths 3.3534, 3.3534, 24.6150 Å; angles 90.00, 90.00, 120.00 degrees
Space group R-3m (No. 166, hexagonal axes)
Inequivalent atoms, fractional coordinates:
Ta 0.0000 0.0000 0.0000 (multiplicity 3)
Pt 0.0000 0.0000 0.2634 (multiplicity 6)
Pb 0.0000 0.0000 0.5000 (multiplicity 3)

=====

[3]
TaPtPb2: optimized geometry, GGA-PBEsol.

## Properties
Calculated volume ... 20.2 Å³/atom
ΔH_f (0 K) ... 0.39 eV/atom
ΔE to the lowest computed polymorph ... 0.000 eV/atom

Cell lengths 4.076, 4.076, 9.735 Å; angles 90.00, 90.00, 90.00 degrees
Space group I-4m2 (No. 119)
Inequivalent atoms, fractional coordinates:
Ta 0.000 0.000 0.000 (multiplicity 2)
Pt 0.000 0.500 0.750 (multiplicity 2)
Pb 0.000 0.000 0.500 (multiplicity 2)
Pb 0.000 0.500 0.250 (multiplicity 2)

=====

[4]
TaPtPb2: optimized geometry, GGA-PBEsol.

## Properties
Calculated volume ... 20.6 Å³/atom
ΔH_f (0 K) ... 0.52 eV/atom
ΔE to the lowest computed polymorph ... 0.133 eV/atom

Cell lengths 4.222, 4.222, 9.261 Å; angles 90.00, 90.00, 90.00 degrees
Space group I4/mmm (No. 139)
Inequivalent atoms, fractional coordinates:
Ta 0.000 0.000 0.000 (multiplicity 2)
Pt 0.000 0.000 0.500 (multiplicity 2)
Pb 0.000 0.500 0.250 (multiplicity 4)